[1]
First-principles (GGA-PBE) data for crystalline NaSnP2S at its relaxed geometry, as listed in the Alexandria database.

```
NaSnP2S
1.0
-0.1257 -4.7372 -1.2759
3.5175 0.8027 -3.3268
3.4569 -1.0105 3.4112
Na S Sn P
1 1 1 2
direct
0.0000 0.0000 0.0000
0.0000 0.0000 0.5000
0.5000 0.5000 0.5000
0.5000 0.0000 0.0000
0.0000 0.5000 0.0000
```

Values from the calculation:
Uncorrected energy ... -3.02 eV/atom
E_form (uncorrected) ... 1.03 eV/atom

[2]
First-principles (GGA-PBE) data for crystalline Zn3CoSe at its relaxed geometry, as listed in the Alexandria database.

```
Zn3CoSe
1.0
4.5991 0.0000 0.0000
0.0000 4.5991 0.0000
0.0000 0.0000 4.5991
Co Zn Se
1 3 1
direct
0.0000 0.0000 0.0000
0.0000 0.5000 0.0000
0.0000 0.0000 0.5000
0.5000 0.0000 0.0000
0.5000 0.5000 0.5000
```

Values from the calculation:
Uncorrected energy ... -2.40 eV/atom
E_form (uncorrected) ... 0.48 eV/atom